Entry 1:
Here is an optimized crystal structure of Pr4SmY from Alexandria via LeMat-Bulk. Energies are from PBE.

Computed properties:
Density ... 6.193 g/cm3
SG ... R-3m
Energy of formation ... 36 kJ/mol of atoms

```
data_Pr4SmY
_chemical_formula_sum 'Pr4 Sm1 Y1'
_cell_length_a 7.669
_cell_length_b 7.669
_cell_length_c 7.669
_cell_angle_alpha 46.32
_cell_angle_beta 46.32
_cell_angle_gamma 46.32
_symmetry_space_group_name_H-M 'P 1'
_symmetry_Int_Tables_number 1
_symmetry_space_group_name_Hall 'P 1'
loop_
_atom_site_label
_atom_site_fract_x
_atom_site_fract_y
_atom_site_fract_z
Pr1 0.166 0.166 0.166
Pr2 0.334 0.334 0.334
Pr3 0.666 0.666 0.666
Pr4 0.834 0.834 0.834
Sm1 0.000 0.000 0.000
Y1 0.500 0.500 0.500
```

Entry 2:
Here is an optimized crystal structure of Pr12SmY5 from Alexandria via LeMat-Bulk. Energies are from PBE.

Computed properties:
Density ... 6.017 g/cm3
SG ... Cmmm
Energy of formation ... 2 kJ/mol of atoms

```
data_Pr12SmY5
_chemical_formula_sum 'Pr12 Sm1 Y5'
_cell_length_a 11.010
_cell_length_b 11.010
_cell_length_c 5.204
_cell_angle_alpha 90.00
_cell_angle_beta 90.00
_cell_angle_gamma 90.27
_symmetry_space_group_name_H-M 'P 1'
_symmetry_Int_Tables_number 1
_symmetry_space_group_name_Hall 'P 1'
loop_
_atom_site_label
_atom_site_fract_x
_atom_site_fract_y
_atom_site_fract_z
Pr1 0.001 0.668 0.500
Pr2 0.165 0.165 0.000
Pr3 0.168 0.501 0.000
Pr4 0.332 0.999 0.500
Pr5 0.334 0.334 0.500
Pr6 0.499 0.832 0.000
Pr7 0.501 0.168 0.000
Pr8 0.666 0.666 0.500
Pr9 0.668 0.001 0.500
Pr10 0.832 0.499 0.000
Pr11 0.835 0.835 0.000
Pr12 0.999 0.332 0.500
Sm1 0.500 0.500 0.000
Y1 0.000 0.000 0.500
Y2 0.167 0.833 0.000
Y3 0.333 0.667 0.500
Y4 0.667 0.333 0.500
Y5 0.833 0.167 0.000
```

Entry 3:
Here is an optimized crystal structure of Pr5Sm2Y2 from Alexandria via LeMat-Bulk. Energies are from PBE.

Computed properties:
Density ... 6.261 g/cm3
SG ... C2/m
Energy of formation ... 1 kJ/mol of atoms

```
data_Pr5Sm2Y2
_chemical_formula_sum 'Pr5 Sm2 Y2'
_cell_length_a 6.358
_cell_length_b 6.358
_cell_length_c 10.987
_cell_angle_alpha 106.79
_cell_angle_beta 106.79
_cell_angle_gamma 48.14
_symmetry_space_group_name_H-M 'P 1'
_symmetry_Int_Tables_number 1
_symmetry_space_group_name_Hall 'P 1'
loop_
_atom_site_label
_atom_site_fract_x
_atom_site_fract_y
_atom_site_fract_z
Pr1 0.000 0.000 0.000
Pr2 0.334 0.334 0.112
Pr3 0.334 0.334 0.445
Pr4 0.666 0.666 0.555
Pr5 0.666 0.666 0.888
Sm1 0.000 0.000 0.333
Sm2 0.000 0.000 0.667
Y1 0.332 0.332 0.777
Y2 0.668 0.668 0.223
```

Entry 4:
Here is an optimized crystal structure of Pr4Sm7Y from Alexandria via LeMat-Bulk. Energies are from PBE.

Computed properties:
Density ... 6.621 g/cm3
SG ... C2/m
Energy of formation ... 24 kJ/mol of atoms

```
data_Pr4Sm7Y
_chemical_formula_sum 'Pr4 Sm7 Y1'
_cell_length_a 6.825
_cell_length_b 6.825
_cell_length_c 12.983
_cell_angle_alpha 114.52
_cell_angle_beta 114.52
_cell_angle_gamma 52.94
_symmetry_space_group_name_H-M 'P 1'
_symmetry_Int_Tables_number 1
_symmetry_space_group_name_Hall 'P 1'
loop_
_atom_site_label
_atom_site_fract_x
_atom_site_fract_y
_atom_site_fract_z
Pr1 0.059 0.059 0.329
Pr2 0.363 0.363 0.222
Pr3 0.637 0.637 0.778
Pr4 0.941 0.941 0.671
Sm1 0.000 0.000 0.000
Sm2 0.209 0.209 0.923
Sm3 0.251 0.251 0.684
Sm4 0.366 0.366 0.498
Sm5 0.634 0.634 0.502
Sm6 0.749 0.749 0.316
Sm7 0.791 0.791 0.077
Y1 0.500 0.500 0.000
```

Entry 5:
Here is an optimized crystal structure of Pr2Sm4Y from Alexandria via LeMat-Bulk. Energies are from PBE.

Computed properties:
Density ... 6.737 g/cm3
SG ... R-3m
Energy of formation ... 1 kJ/mol of atoms

```
data_Pr2Sm4Y
_chemical_formula_sum 'Pr2 Sm4 Y1'
_cell_length_a 20.918
_cell_length_b 20.918
_cell_length_c 20.918
_cell_angle_alpha 10.00
_cell_angle_beta 10.00
_cell_angle_gamma 10.00
_symmetry_space_group_name_H-M 'P 1'
_symmetry_Int_Tables_number 1
_symmetry_space_group_name_Hall 'P 1'
loop_
_atom_site_label
_atom_site_fract_x
_atom_site_fract_y
_atom_site_fract_z
Pr1 0.072 0.072 0.072
Pr2 0.928 0.928 0.928
Sm1 0.213 0.213 0.213
Sm2 0.357 0.357 0.357
Sm3 0.643 0.643 0.643
Sm4 0.787 0.787 0.787
Y1 0.500 0.500 0.500
```

Entry 6:
Here is an optimized crystal structure of Pr5SmY4 from Alexandria via LeMat-Bulk. Energies are from PBE.

Computed properties:
Density ... 5.720 g/cm3
SG ... I4
Energy of formation ... 25 kJ/mol of atoms

```
data_Pr5SmY4
_chemical_formula_sum 'Pr5 Sm1 Y4'
_cell_length_a 8.149
_cell_length_b 8.149
_cell_length_c 8.149
_cell_angle_alpha 98.27
_cell_angle_beta 98.27
_cell_angle_gamma 135.43
_symmetry_space_group_name_H-M 'P 1'
_symmetry_Int_Tables_number 1
_symmetry_space_group_name_Hall 'P 1'
loop_
_atom_site_label
_atom_site_fract_x
_atom_site_fract_y
_atom_site_fract_z
Pr1 0.000 0.000 0.000
Pr2 0.081 0.459 0.998
Pr3 0.082 0.081 0.622
Pr4 0.459 0.460 0.378
Pr5 0.460 0.082 0.002
Sm1 0.536 0.536 0.000
Y1 0.086 0.759 0.325
Y2 0.434 0.761 0.675
Y3 0.759 0.434 0.673
Y4 0.761 0.086 0.327
```

Entry 7:
Here is an optimized crystal structure of Pr4Sm4Y5 from Alexandria via LeMat-Bulk. Energies are from PBE.

Computed properties:
Density ... 6.058 g/cm3
SG ... I4/m
Energy of formation ... 2 kJ/mol of atoms

```
data_Pr4Sm4Y5
_chemical_formula_sum 'Pr4 Sm4 Y5'
_cell_length_a 9.621
_cell_length_b 9.621
_cell_length_c 9.621
_cell_angle_alpha 94.08
_cell_angle_beta 94.08
_cell_angle_gamma 149.07
_symmetry_space_group_name_H-M 'P 1'
_symmetry_Int_Tables_number 1
_symmetry_space_group_name_Hall 'P 1'
loop_
_atom_site_label
_atom_site_fract_x
_atom_site_fract_y
_atom_site_fract_z
Pr1 0.079 0.617 0.696
Pr2 0.383 0.079 0.462
Pr3 0.617 0.921 0.538
Pr4 0.921 0.383 0.304
Sm1 0.154 0.230 0.383
Sm2 0.230 0.846 0.076
Sm3 0.770 0.154 0.924
Sm4 0.846 0.770 0.617
Y1 0.000 0.000 0.000
Y2 0.310 0.461 0.772
Y3 0.461 0.690 0.151
Y4 0.539 0.310 0.849
Y5 0.690 0.539 0.228
```

Entry 8:
Here is an optimized crystal structure of Pr2SmY from Alexandria via LeMat-Bulk. Energies are from PBE.

Computed properties:
Density ... 6.239 g/cm3
SG ... R3m
Energy of formation ... 1 kJ/mol of atoms

```
data_Pr2SmY
_chemical_formula_sum 'Pr2 Sm1 Y1'
_cell_length_a 12.064
_cell_length_b 12.064
_cell_length_c 12.064
_cell_angle_alpha 17.51
_cell_angle_beta 17.51
_cell_angle_gamma 17.51
_symmetry_space_group_name_H-M 'P 1'
_symmetry_Int_Tables_number 1
_symmetry_space_group_name_Hall 'P 1'
loop_
_atom_site_label
_atom_site_fract_x
_atom_site_fract_y
_atom_site_fract_z
Pr1 0.000 0.000 0.000
Pr2 0.168 0.168 0.168
Sm1 0.417 0.417 0.417
Y1 0.584 0.584 0.584
```